The following is a PBE calculation of a relaxed SrYCd crystal, from Alexandria.

Cell: 5.453 5.453 4.027 Å, 90.00 90.00 120.00°
Fractional positions:
Sr 0.667 0.333 0.317
Cd 0.000 0.000 0.882
Y 0.333 0.667 0.800

Computed properties:
- Energy above the lowest structure with this stoichiometry: 0.44 eV per formula unit
- SG: P3m1 (156)

=====

The following is a PBE calculation of a relaxed Sr4YCd5 crystal, from Alexandria.

Cell: 3.969 3.969 20.160 Å, 90.00 90.00 90.00°
Fractional positions:
Cd 0.500 0.500 0.707
Cd 0.500 0.500 0.500
Cd 0.500 0.500 0.293
Cd 0.500 0.500 0.917
Cd 0.500 0.500 0.083
Sr 0.000 0.000 0.190
Sr 0.000 0.000 0.604
Sr 0.000 0.000 0.810
Sr 0.000 0.000 0.396
Y 0.000 0.000 0.000

Computed properties:
- SG: P4/mmm (123)
- Total DFT energy (no corrections): -2.104 eV per atom

=====

The following is a PBE calculation of a relaxed Sr3YCd crystal, from Alexandria.

Cell: 6.250 6.250 6.250 Å, 90.00 90.00 90.00°
Fractional positions:
Y 0.500 0.500 0.500
Sr 0.000 0.000 0.500
Sr 0.000 0.500 0.000
Sr 0.500 0.000 0.000
Cd 0.000 0.000 0.000

Computed properties:
- Energy above the lowest structure with this stoichiometry: 0.00 eV per formula unit
- SG: Pm-3m (221)

=====

The following is a PBE calculation of a relaxed SrYZnCd crystal, from Alexandria.

Cell: 5.392 5.392 5.392 Å, 60.00 60.00 60.00°
Fractional positions:
Cd 0.500 0.500 0.500
Sr 0.250 0.250 0.250
Zn 0.000 0.000 0.000
Y 0.750 0.750 0.750

Computed properties:
- SG: F-43m (216)
- Total DFT energy (no corrections): -2.811 eV per atom

=====

The following is a PBE calculation of a relaxed Sr2Zn2Cd crystal, from Alexandria.

Cell: 4.631 6.537 10.549 Å, 82.22 77.32 69.26°
Fractional positions:
Cd 0.226 0.912 0.637
Cd 0.774 0.088 0.363
Zn 0.874 0.696 0.557
Zn 0.011 0.869 0.108
Zn 0.126 0.304 0.443
Zn 0.989 0.131 0.892
Sr 0.306 0.275 0.114
Sr 0.495 0.681 0.328
Sr 0.694 0.725 0.886
Sr 0.505 0.319 0.672

Computed properties:
- Energy above the lowest structure with this stoichiometry: 0.03 eV per formula unit
- SG: C2/m (12)

=====

The following is a PBE calculation of a relaxed Sr4Zn2Cd5 crystal, from Alexandria.

Cell: 4.247 7.895 9.931 Å, 92.81 90.00 90.00°
Fractional positions:
Sr 0.500 0.742 0.569
Sr 0.500 0.181 0.870
Sr 0.500 0.258 0.431
Sr 0.500 0.819 0.130
Zn 0.000 0.061 0.627
Zn 0.000 0.939 0.373
Cd 0.000 0.570 0.312
Cd 0.000 0.188 0.155
Cd 0.000 0.430 0.688
Cd 0.000 0.812 0.845
Cd 0.000 0.500 0.000

Computed properties:
- SG: P2/m (10)
- Total DFT energy (no corrections): -1.500 eV per atom

=====

The following is a PBE calculation of a relaxed Sr2Zn2Cd crystal, from Alexandria.

Cell: 3.954 3.954 10.052 Å, 78.66 78.66 90.00°
Fractional positions:
Sr 0.392 0.392 0.216
Sr 0.608 0.608 0.784
Zn 0.750 0.250 0.500
Zn 0.250 0.750 0.500
Cd 0.000 0.000 0.000

Computed properties:
- Energy above the lowest structure with this stoichiometry: 0.68 eV per formula unit
- SG: I4/mmm (139)

=====

The following is a PBE calculation of a relaxed Sr2ZnCd crystal, from Alexandria.

Cell: 4.581 8.121 6.706 Å, 36.96 90.00 90.00°
Fractional positions:
Sr 0.000 0.000 0.000
Sr 0.500 0.500 0.000
Zn 0.500 0.500 0.500
Cd 0.000 0.000 0.500

Computed properties:
- SG: P2/m (10)
- Total DFT energy (no corrections): -1.481 eV per atom

=====

D(E_F) values, unit states/eV/f.u., following the record order: 2.9; 7.4; 7.0; 4.1; 3.5; 7.1; 2.9; 2.9.